This record from the Alexandria database describes an optimized crystal structure of AlSnPO2. The functional is PBE.

a = 3.9213 Å, b = 3.9213 Å, c = 5.5105 Å
α = 90.00°, β = 90.00°, γ = 90.00°
With the nearest neighbours (Å) after each atom.
Space group P4/mmm (No. 123)
Unique sites:
Al: 0.0000 0.0000 0.0000 [1 per cell]  4 P 2.77
Sn: 0.5000 0.5000 0.5000 [1 per cell]  4 O 1.96
P: 0.5000 0.5000 0.0000 [1 per cell]  2 Sn 2.76, 4 Al 2.77
O: 0.0000 0.5000 0.5000 [2 per cell]  2 Sn 1.96

Computed properties:
magnetic moment = 0.00 μB per atom
DFT total energy = -24.988 eV/cell